Entry 1:
Compound: LiLaBRh2
Source: Alexandria via LeMat-Bulk
Functional: PBE
Structure: relaxed Values from VASP.

## Properties
The space-group type is No. 123. As for the formation energy from the elements: 1.609 eV/atom. For the total energy, the calculation gives -20.18 eV/cell. Its excess energy over the best structure of this formula in the dataset is 2145 meV/atom.

```
&SYSTEM
  ibrav = 0, nat = 5, ntyp = 4
/
ATOMIC_SPECIES
Li 6.94 Li.upf
La 138.91 La.upf
B 10.81 B.upf
Rh 102.91 Rh.upf
ATOMIC_POSITIONS crystal
Li 0.000 0.000 0.000
La 0.000 0.000 0.500
B 0.500 0.500 0.000
Rh 0.000 0.500 0.500
Rh 0.500 0.000 0.500
CELL_PARAMETERS angstrom
4.841 0.000 0.000
0.000 4.841 0.000
0.000 0.000 5.358
```

***

Entry 2:
Compound: TbAl3Ni3
Source: Alexandria via LeMat-Bulk
Functional: PBE
Structure: relaxed Values from VASP.

## Properties
The space-group type is No. 223. As for the formation energy from the elements: -0.032 eV/atom. For the total energy, the calculation gives -66.85 eV/cell.

```
&SYSTEM
  ibrav = 0, nat = 14, ntyp = 3
/
ATOMIC_SPECIES
Tb 158.93 Tb.upf
Al 26.98 Al.upf
Ni 58.69 Ni.upf
ATOMIC_POSITIONS crystal
Tb 0.000 0.000 0.000
Tb 0.500 0.500 0.500
Al 0.000 0.250 0.500
Al 0.000 0.750 0.500
Al 0.250 0.500 0.000
Al 0.500 0.000 0.250
Al 0.500 0.000 0.750
Al 0.750 0.500 0.000
Ni 0.000 0.500 0.250
Ni 0.000 0.500 0.750
Ni 0.250 0.000 0.500
Ni 0.500 0.250 0.000
Ni 0.500 0.750 0.000
Ni 0.750 0.000 0.500
CELL_PARAMETERS angstrom
6.400 0.000 0.000
0.000 6.400 0.000
0.000 0.000 6.400
```